DFT (PBE) results for a relaxed Pm3ReO6 crystal.

Results
Crystal system = orthorhombic
D(E_F) = 3.291 states/eV per cell
Energy relative to the elements, uncorrected = -2.606 eV/atom
Magnetic moment = 0.000 μB/atom

```
20
Lattice="-3.134 3.778 -2.920 -4.454 -5.497 -2.331 -3.164 2.280 6.346" Properties=species:S:1:pos:R:3 pbc="T T T"
Pm -7.712 -1.609 0.977
Pm -3.097 0.340 -1.456
Pm -4.401 3.811 -1.150
O -2.731 1.585 2.991
O -3.917 2.590 5.167
Pm -6.841 1.146 -1.539
O -5.543 3.077 2.472
Pm -9.017 1.863 1.283
O -4.792 1.620 -0.567
O -7.178 0.613 0.690
O -4.951 -0.459 -2.858
O -5.639 -1.446 1.962
Pm -5.025 0.758 1.597
O -7.571 -1.566 -1.476
Re -5.707 -1.977 -1.888
O -6.609 -2.302 -3.860
O -4.693 -3.138 -0.895
O -5.352 0.478 4.372
O -3.253 -0.438 0.704
Re -6.540 4.339 1.591
```